First-principles (PBE) data for crystalline VHgI3 at its relaxed geometry, as listed in Alexandria via LeMat-Bulk.

POSCAR file:
```
VHgI3
1.0
-1.8219 5.2725 1.9537
-5.6199 -1.7740 -0.4533
0.1820 -1.9973 5.5600
I Hg V
3 1 1
Cartesian
-0.9110 2.6363 0.9768
-2.8100 -0.8870 -0.2266
0.0910 -0.9986 2.7800
0.0000 0.0000 0.0000
-3.6299 0.7506 3.5302
```

Properties
**Raw formation energy**: 0.59 eV per atom
**Magnetization**: 0.75 μB per atom
**Mass density**: 5.08 Mg/m³
**Electronic total energy**: -2.23 eV/atom
**Symmetry**: Pm-3m (221)

=====

First-principles (PBE) data for crystalline YTaCo2 at its relaxed geometry, as listed in Alexandria via LeMat-Bulk.

POSCAR file:
```
YTaCo2
1.0
-3.9759 0.8576 5.6097
-1.0838 -6.8382 0.2773
-0.1417 -3.2982 4.6832
Co Ta Y
4 2 2
Cartesian
-1.9611 -4.4477 5.7091
-2.8121 -1.1096 4.9319
-1.0536 -5.0249 1.8249
-4.5761 -7.9754 8.6744
0.0000 0.0000 0.0000
-3.3238 -2.7155 6.6182
-1.8777 -6.5634 3.9520
-2.5299 -2.9903 2.9435
```

Properties
**Magnetization**: 0.00 μB per atom
**Mass density**: 9.03 Mg/m³
**Energy of formation from the pure elements**: 0.34 eV per atom
**Electronic total energy**: -7.80 eV/atom
**Symmetry**: I-42d (122)

=====

First-principles (PBE) data for crystalline ScTiRh at its relaxed geometry, as listed in Alexandria via LeMat-Bulk.

POSCAR file:
```
ScTiRh
1.0
-0.3302 1.2167 -2.9131
-3.1463 -0.3672 0.2033
1.3192 4.2805 3.3676
Sc Rh Ti
1 1 1
Cartesian
-1.8297 1.4510 -0.9159
-2.1066 4.5601 0.4140
-0.2527 2.8374 1.2137
```

Properties
**Magnetization**: 0.00 μB per atom
**Mass density**: 6.28 Mg/m³
**Energy of formation from the pure elements**: -0.53 eV per atom
**Electronic total energy**: -7.72 eV/atom
**Symmetry**: I4mm (107)

=====

First-principles (PBE) data for crystalline MgGa2TcPd at its relaxed geometry, as listed in Alexandria via LeMat-Bulk.

POSCAR file:
```
MgGa2TcPd
1.0
-1.7009 -4.3554 -0.6066
2.9941 -0.6849 -3.4778
3.1749 -1.6663 3.0616
Mg Tc Ga Pd
1 1 2 1
Cartesian
0.0000 0.0000 0.0000
1.4971 -0.3425 -1.7389
1.5875 -0.8331 1.5308
-0.8504 -2.1777 -0.3033
2.2341 -3.3533 -0.5114
```

Properties
**Magnetization**: 0.33 μB per atom
**Mass density**: 5.93 Mg/m³
**Energy of formation from the pure elements**: 1.22 eV per atom
**Electronic total energy**: -3.42 eV/atom
**Symmetry**: P4/mmm (123)

=====

First-principles (PBE) data for crystalline KTl2Cu2F6 at its relaxed geometry, as listed in Alexandria via LeMat-Bulk.

POSCAR file:
```
KTl2Cu2F6
1.0
-3.4757 -2.1565 -4.6795
-0.4077 -2.9901 5.8083
-3.1155 6.3010 -0.5897
F Cu Tl K
6 2 2 1
Cartesian
-5.6046 2.9499 -3.5953
-2.1520 0.2952 1.4623
-4.8470 0.8591 -0.9233
-3.3069 -2.9822 1.5594
-3.6921 4.1366 -1.0203
-1.3944 -1.7956 4.1343
-6.0572 0.1705 0.2929
-0.9418 0.9838 0.2461
-3.2200 -1.7770 -0.9169
-3.7790 2.9314 1.4559
-3.2956 2.0722 -2.6346
```

Properties
**Raw formation energy**: -1.73 eV per atom
**Magnetization**: 0.09 μB per atom
**Mass density**: 5.29 Mg/m³
**Electronic total energy**: -4.03 eV/atom
**Symmetry**: C2/m (12)

=====

First-principles (PBE) data for crystalline Na3Mn2As4 at its relaxed geometry, as listed in Alexandria via LeMat-Bulk.

POSCAR file:
```
Na3Mn2As4
1.0
-1.1680 0.2162 3.8679
0.1736 -6.3030 -1.7116
7.8792 2.2501 2.2536
Na As Mn
3 4 2
Cartesian
4.4407 -3.5077 1.5371
2.4440 -0.3290 2.8728
0.0000 0.0000 0.0000
0.1104 -1.9554 2.2590
6.7744 -1.8813 2.1509
5.0666 0.3281 1.5117
1.8182 -4.1648 2.8983
5.6941 -0.4045 3.8585
1.1906 -3.4322 0.5514
```

Properties
**Magnetization**: 0.78 μB per atom
**Mass density**: 3.92 Mg/m³
**Energy of formation from the pure elements**: -0.25 eV per atom
**Electronic total energy**: -4.79 eV/atom
**Symmetry**: C2/m (12)

=====

First-principles (PBE) data for crystalline TlPW2 at its relaxed geometry, as listed in Alexandria via LeMat-Bulk.

POSCAR file:
```
TlPW2
1.0
1.6603 -2.3463 0.0000
1.6603 2.3463 0.0000
0.0000 0.0000 10.2319
Tl W P
1 2 1
Cartesian
1.6603 0.0000 2.2692
0.0000 0.0000 9.7914
1.6603 0.0000 7.6791
0.0000 0.0000 5.8401
```

Properties
**Magnetization**: 0.00 μB per atom
**Mass density**: 12.56 Mg/m³
**Energy of formation from the pure elements**: 0.49 eV per atom
**Electronic total energy**: -7.93 eV/atom
**Symmetry**: Cmm2 (35)

=====

First-principles (PBE) data for crystalline LiF at its relaxed geometry, as listed in Alexandria via LeMat-Bulk.

POSCAR file:
```
LiF
1.0
-2.0275 4.7547 6.6393
6.2961 -3.7967 4.6417
3.9138 4.2396 -1.8410
F Li
16 16
Cartesian
5.7961 4.6973 8.1959
6.4776 3.0990 5.9641
0.6024 5.2963 3.5151
-1.6867 3.9555 5.5233
4.7642 1.0206 2.5163
5.5345 -1.3981 3.5649
1.3727 2.8776 4.5637
4.3433 2.6200 0.3236
1.2839 3.6980 1.2832
0.6911 4.4759 6.7956
-0.3408 0.7992 1.1159
3.4183 4.1769 6.9237
3.6617 4.2184 2.5554
4.8529 0.2002 5.7968
1.7935 1.2781 6.7564
2.4751 -0.3202 4.5245
3.0957 -0.1008 6.3492
0.9614 -0.5797 0.7088
1.1729 1.0587 4.9317
4.1436 0.8012 0.6916
0.0705 4.2565 4.9709
6.0663 -0.3583 2.1091
1.9045 3.9174 3.1079
6.1551 -1.1787 5.3896
4.9639 2.8395 2.1483
5.3348 -3.2170 3.9329
4.2323 -0.0192 3.9721
6.2779 1.2802 6.3321
7.0982 3.3184 7.7887
3.0411 3.9989 0.7308
1.9933 3.0970 6.3884
5.1755 4.4779 6.3712
```

Properties
**Raw formation energy**: -2.89 eV per atom
**Magnetization**: 0.02 μB per atom
**Mass density**: 1.56 Mg/m³
**Electronic total energy**: -4.79 eV/atom
**Symmetry**: Fddd (70)

=====

First-principles (PBE) data for crystalline Cu2RuF8 at its relaxed geometry, as listed in Alexandria via LeMat-Bulk.

POSCAR file:
```
Cu2RuF8
1.0
-1.7288 1.6380 -3.1809
-5.1253 -3.7315 0.8642
0.2859 5.7441 2.8024
F Ru Cu
8 1 2
Cartesian
-3.7836 -0.1360 0.6599
-1.1109 1.5706 0.1619
-2.7845 3.7865 -0.1743
-5.6096 -1.0959 -1.2288
-0.9586 4.7465 1.7145
-5.4571 2.0800 0.3238
-2.7776 0.9731 -1.7026
-3.7905 2.6776 2.1883
0.2859 5.7441 2.8024
-4.6541 0.6889 -0.9417
-1.9140 2.9617 1.4273
```

Properties
**Raw formation energy**: -1.52 eV per atom
**Magnetization**: 0.36 μB per atom
**Mass density**: 4.48 Mg/m³
**Electronic total energy**: -4.47 eV/atom
**Symmetry**: P-3m1 (164)

=====

First-principles (PBE) data for crystalline Pr2DyErSb4 at its relaxed geometry, as listed in Alexandria via LeMat-Bulk.

POSCAR file:
```
Pr2DyErSb4
1.0
-2.1702 -3.2501 -2.1675
-1.0642 -3.7471 6.6842
-5.9294 4.7891 -1.2443
Pr Dy Sb Er
2 1 4 1
Cartesian
-3.4968 0.5210 2.7199
-4.0498 0.7695 -1.7059
0.0000 0.0000 0.0000
-4.7931 2.6960 0.7565
-2.7603 -1.4102 0.2714
-6.4035 -0.7979 3.0010
-2.2005 -1.6540 4.6833
-1.6172 -3.4986 2.2583
```

Properties
**Raw formation energy**: -1.15 eV per atom
**Magnetization**: 0.00 μB per atom
**Mass density**: 7.25 Mg/m³
**Electronic total energy**: -5.55 eV/atom
**Symmetry**: P2/m (10)

=====

First-principles (PBE) data for crystalline NpTlTeCl2 at its relaxed geometry, as listed in Alexandria via LeMat-Bulk.

POSCAR file:
```
NpTlTeCl2
1.0
4.5375 0.0000 0.0000
-2.2687 8.8435 0.0000
0.0000 0.0000 8.6936
Tl Cl Te Np
2 4 2 2
Cartesian
2.2687 3.5185 6.5202
0.0000 5.3250 2.1734
2.2687 6.1656 0.0181
2.2687 6.1656 4.3287
0.0000 2.6780 4.3649
0.0000 2.6780 8.6755
2.2687 0.0285 6.5202
0.0000 8.8150 2.1734
0.0000 0.0000 0.0000
0.0000 0.0000 4.3468
```

Properties
**Raw formation energy**: -1.08 eV per atom
**Magnetization**: 0.80 μB per atom
**Mass density**: 6.09 Mg/m³
**Electronic total energy**: -5.50 eV/atom
**Symmetry**: Cmcm (63)

=====

First-principles (PBE) data for crystalline YPt2 at its relaxed geometry, as listed in Alexandria via LeMat-Bulk.

POSCAR file:
```
YPt2
1.0
3.8915 0.0000 0.0000
0.0000 3.8915 0.0000
0.0000 0.0000 4.3358
Pt Y
2 1
Cartesian
0.0000 1.9458 2.1679
1.9458 0.0000 2.1679
0.0000 0.0000 0.0000
```

Properties
**Magnetization**: 0.00 μB per atom
**Mass density**: 12.12 Mg/m³
**Energy of formation from the pure elements**: -0.86 eV per atom
**Electronic total energy**: -7.04 eV/atom
**Symmetry**: P4/mmm (123)

=====

First-principles (PBE) data for crystalline TmZnBi2 at its relaxed geometry, as listed in Alexandria via LeMat-Bulk.

POSCAR file:
```
TmZnBi2
1.0
4.2839 0.0000 0.0000
2.1419 3.7099 0.0000
2.1419 1.2366 7.2497
Zn Bi Tm
1 2 1
Cartesian
0.0000 0.0000 0.0000
2.1419 1.2366 1.6307
6.4258 3.7099 5.6190
4.2839 2.4733 3.6249
```

Properties
**Magnetization**: 0.00 μB per atom
**Mass density**: 9.40 Mg/m³
**Energy of formation from the pure elements**: -0.11 eV per atom
**Electronic total energy**: -3.49 eV/atom
**Symmetry**: R-3m (166)

=====

First-principles (PBE) data for crystalline Tb2PuAl2Ru5 at its relaxed geometry, as listed in Alexandria via LeMat-Bulk.

POSCAR file:
```
Tb2PuAl2Ru5
1.0
-1.3922 2.7776 -1.3230
0.6469 -4.1085 -9.3062
-9.2642 -4.0900 1.1617
Tb Ru Al Pu
4 10 4 2
Cartesian
-1.1452 -3.4515 -6.0411
-2.9430 -2.0481 -1.2031
-5.6743 -6.1503 -6.9413
-7.4721 -4.7470 -2.1034
-8.8181 -5.7066 -7.0113
-1.9575 -3.2654 -9.1055
-8.0520 -2.1554 -0.3620
-4.2490 -3.2612 -6.6852
-3.1838 -1.6098 -4.3392
-1.1914 0.2857 -2.4561
-5.7605 -2.1597 -2.7822
-6.8257 -3.8110 -5.1283
-5.3282 -0.6562 -0.0807
-0.3727 -0.6654 -5.3146
-0.9269 -2.0519 -3.3325
-5.7192 -3.0792 -0.4466
-7.6904 -6.1465 -4.8119
-2.8981 -5.1192 -7.6979
-4.3087 -4.0992 -4.0722
0.0000 0.0000 0.0000
```

Properties
**Magnetization**: 0.29 μB per atom
**Mass density**: 10.61 Mg/m³
**Energy of formation from the pure elements**: -0.41 eV per atom
**Electronic total energy**: -8.15 eV/atom
**Symmetry**: P4/mbm (127)

=====

First-principles (PBE) data for crystalline BaLiGdSn at its relaxed geometry, as listed in Alexandria via LeMat-Bulk.

POSCAR file:
```
BaLiGdSn
1.0
-2.9996 -3.7187 -3.0141
1.3177 -5.4905 0.1690
-3.4276 -3.6480 2.6182
Sn Li Ba Gd
1 1 1 1
Cartesian
-1.2774 -3.2143 -0.0567
-3.8321 -9.6429 -0.1702
0.0000 0.0000 0.0000
-2.5547 -6.4286 -0.1135
```

Properties
**Magnetization**: 1.83 μB per atom
**Mass density**: 5.47 Mg/m³
**Energy of formation from the pure elements**: -0.30 eV per atom
**Electronic total energy**: -5.78 eV/atom
**Symmetry**: F-43m (216)

=====

First-principles (PBE) data for crystalline LaAl2Se at its relaxed geometry, as listed in Alexandria via LeMat-Bulk.

POSCAR file:
```
LaAl2Se
1.0
4.7529 0.0000 0.0000
0.0000 3.6423 -0.0346
0.0000 0.0526 5.6734
La Se Al
1 1 2
Cartesian
4.7529 1.8491 2.9693
2.3764 0.0370 3.9282
0.0000 0.0046 0.2178
2.3765 3.6517 1.3428
```

Properties
**Raw formation energy**: -0.56 eV per atom
**Magnetization**: 0.00 μB per atom
**Mass density**: 4.60 Mg/m³
**Electronic total energy**: -4.53 eV/atom
**Symmetry**: Pmm2 (25)

=====

First-principles (PBE) data for crystalline Cs5H3Br2 at its relaxed geometry, as listed in Alexandria via LeMat-Bulk.

POSCAR file:
```
Cs5H3Br2
1.0
4.7185 0.0000 1.0471
1.9254 8.1436 2.4785
0.2074 -0.9389 10.2208
H Cs Br
3 5 2
Cartesian
5.0441 2.0676 10.7350
3.4257 3.6023 6.8732
1.8072 5.1371 3.0114
5.8647 5.7865 7.0374
0.9867 1.4182 6.7090
0.0000 0.0000 0.0000
2.7166 3.8699 10.0685
4.1347 3.3348 3.6780
5.0969 6.8212 10.4974
1.7545 0.3835 3.2490
```

Properties
**Magnetization**: 0.00 μB per atom
**Mass density**: 3.43 Mg/m³
**Electronic total energy**: -2.57 eV/atom
**Symmetry**: C2/m (12)

=====

First-principles (PBE) data for crystalline SmIO at its relaxed geometry, as listed in Alexandria via LeMat-Bulk.

POSCAR file:
```
SmIO
1.0
11.7925 0.1019 0.0602
11.0694 4.0671 0.0602
11.0694 2.0186 3.5313
Sm I O
2 2 2
Cartesian
7.0702 1.2893 0.7609
26.8611 4.8983 2.8908
13.3843 2.4407 1.4404
20.5471 3.7469 2.2112
29.1359 5.3132 3.1356
4.7954 0.8745 0.5161
```

Properties
**Raw formation energy**: -2.62 eV per atom
**Magnetization**: 0.00 μB per atom
**Mass density**: 5.99 Mg/m³
**Electronic total energy**: -6.36 eV/atom
**Symmetry**: R-3m (166)

=====

First-principles (PBE) data for crystalline CdSn2As at its relaxed geometry, as listed in Alexandria via LeMat-Bulk.

POSCAR file:
```
CdSn2As
1.0
-3.4992 1.8168 0.1934
-3.2984 -1.9671 -0.9131
-3.0083 -2.2760 7.2377
Sn Cd As
2 1 1
Cartesian
-2.8429 -1.7801 5.5716
-2.4321 -0.5485 1.4344
-4.9048 -1.2186 3.2772
-7.5374 -2.3684 6.7315
```

Properties
**Magnetization**: 0.00 μB per atom
**Mass density**: 6.67 Mg/m³
**Energy of formation from the pure elements**: 0.04 eV per atom
**Electronic total energy**: -3.35 eV/atom
**Symmetry**: R3m (160)

=====

First-principles (PBE) data for crystalline LiPm5Ni4 at its relaxed geometry, as listed in Alexandria via LeMat-Bulk.

POSCAR file:
```
LiPm5Ni4
1.0
3.4824 0.0000 0.0000
0.0000 3.4824 0.0000
0.0000 0.0000 18.4144
Ni Pm Li
4 5 1
Cartesian
0.0000 0.0000 14.4955
0.0000 0.0000 7.4928
0.0000 0.0000 3.9188
0.0000 0.0000 10.9215
1.7412 1.7412 12.6686
1.7412 1.7412 9.2072
1.7412 1.7412 5.7458
1.7412 1.7412 16.0641
1.7412 1.7412 2.3502
0.0000 0.0000 0.0000
```

Properties
**Magnetization**: 0.00 μB per atom
**Mass density**: 7.19 Mg/m³
**Energy of formation from the pure elements**: -0.19 eV per atom
**Electronic total energy**: -5.07 eV/atom
**Symmetry**: P4/mmm (123)